[1]
# AlIr2PbS

Crystalline AlIr2PbS at its relaxed geometry (PBE, the Alexandria database).

Cell lengths 4.555, 4.555, 4.671 Å; angles 90.00, 90.00, 90.00 degrees
Fractional positions:
Al (0.000, 0.000, 0.000)
Ir (0.000, 0.500, 0.500)
Ir (0.500, 0.000, 0.500)
Pb (0.500, 0.500, 0.000)
S (0.000, 0.000, 0.500)

Values from the calculation:
- space group = No. 123
- E_form (uncorrected) (eV/atom) = 0.602
- size of the total moment (μB per atom) = 0.000

=====

[2]
# BaZrAlRh2

Crystalline BaZrAlRh2 at its relaxed geometry (PBE, the Alexandria database).

Cell lengths 4.735, 4.735, 5.141 Å; angles 90.00, 90.00, 90.00 degrees
Fractional positions:
Ba (0.000, 0.000, 0.000)
Zr (0.500, 0.500, 0.000)
Al (0.500, 0.500, 0.500)
Rh (0.000, 0.500, 0.500)
Rh (0.500, 0.000, 0.500)

Values from the calculation:
- formation energy (meV/atom) = 290
- space group = No. 123
- size of the total moment (μB per atom) = 0.422
- ΔE to the lowest computed polymorph (eV per atom) = 0.0000

=====

[3]
# IrPd

Crystalline IrPd at its relaxed geometry (PBE, the Alexandria database).

Cell lengths 4.331, 4.331, 5.139 Å; angles 90.00, 90.00, 120.00 degrees
Fractional positions:
Ir (0.333, 0.667, 0.250)
Ir (0.667, 0.333, 0.750)
Pd (0.333, 0.667, 0.750)
Pd (0.667, 0.333, 0.250)

Values from the calculation:
- formation energy (meV/atom) = 1302
- space group = No. 194
- size of the total moment (μB per atom) = 0.000

=====

[4]
# Sm2NpPbO8

Crystalline Sm2NpPbO8 at its relaxed geometry (PBE, the Alexandria database).

Cell lengths 3.953, 5.449, 7.733 Å; angles 89.94, 89.99, 85.26 degrees
Fractional positions:
Sm (0.000, 0.000, 0.246)
Sm (0.000, 0.000, 0.754)
Np (0.500, 0.500, 0.000)
Pb (0.500, 0.500, 0.500)
O (0.036, 0.752, 0.500)
O (0.050, 0.726, 0.000)
O (0.464, 0.263, 0.215)
O (0.464, 0.263, 0.785)
O (0.536, 0.737, 0.215)
O (0.536, 0.737, 0.785)
O (0.950, 0.274, 0.000)
O (0.964, 0.248, 0.500)

Values from the calculation:
- space group = No. 2
- E_form (uncorrected) (eV/atom) = -2.566
- size of the total moment (μB per atom) = 0.031

=====

[5]
# Ca2NdZn

Crystalline Ca2NdZn at its relaxed geometry (PBE, the Alexandria database).

Cell lengths 10.869, 10.869, 10.869 Å; angles 20.04, 20.04, 20.04 degrees
Fractional positions:
Ca (0.000, 0.000, 0.000)
Ca (0.195, 0.195, 0.195)
Nd (0.431, 0.431, 0.431)
Zn (0.597, 0.597, 0.597)

Values from the calculation:
- formation energy (meV/atom) = 7
- space group = No. 160
- size of the total moment (μB per atom) = 0.000
- ΔE to the lowest computed polymorph (eV per atom) = 0.0630